[1]
Here is a relaxed BePtSe2Br crystal from the Alexandria database. Energies are from PBE.

Unit cell a=4.6557 b=4.6557 c=4.4246 alpha=90.00 beta=90.00 gamma=90.00
Element x y z (fractional)
Be: 0.0000 0.0000 0.0000
Pt: 0.5000 0.5000 0.5000
Se: 0.0000 0.5000 0.0000
Se: 0.5000 0.0000 0.0000
Br: 0.0000 0.0000 0.5000

Results
magnetization	0.00	μB per cell
crystal system	tetragonal
DOS at the Fermi energy	1.085	states/eV/atom
space group	P4/mmm (123)
distance to the lowest polymorph of the same formula	0.000	eV per atom
calculated volume	19.2	A^3/atom



[2]
Here is a relaxed BeTcPtBr2 crystal from the Alexandria database. Energies are from PBE.

Unit cell a=5.1279 b=5.1279 c=5.2642 alpha=90.00 beta=90.00 gamma=90.00
Element x y z (fractional)
Be: 0.0000 0.0000 0.0000
Tc: 0.5000 0.5000 0.0000
Pt: 0.5000 0.5000 0.5000
Br: 0.0000 0.5000 0.5000
Br: 0.5000 0.0000 0.5000

Results
magnetization	4.61	μB per cell
crystal system	tetragonal
DOS at the Fermi energy	0.535	states/eV/atom
space group	P4/mmm (123)
electronic total energy	-3.379	eV/atom
calculated volume	27.7	A^3/atom



[3]
Here is a relaxed ZrBePt2Br crystal from the Alexandria database. Energies are from PBE.

Unit cell a=4.7276 b=4.7276 c=4.8946 alpha=90.00 beta=90.00 gamma=90.00
Element x y z (fractional)
Zr: 0.0000 0.0000 0.0000
Be: 0.5000 0.5000 0.0000
Pt: 0.0000 0.5000 0.5000
Pt: 0.5000 0.0000 0.5000
Br: 0.0000 0.0000 0.5000

Results
magnetization	0.00	μB per cell
crystal system	tetragonal
DOS at the Fermi energy	0.744	states/eV/atom
space group	P4/mmm (123)
electronic total energy	-4.147	eV/atom
calculated volume	21.9	A^3/atom